1.
Computed, not measured: a relaxed TiSeIO2 crystal at the PBE-GGA level of DFT.

Output
Excess energy over the best structure of this formula in the dataset: 1.303 eV/atom
Density of states at the Fermi level: 6.293 states/eV/cell
Formation energy without anion corrections: 206.5 meV per atom
Magnetic moment: 0.000 μB per atom
Density: 4.97 Mg/m³

a = 3.915 Å, b = 3.915 Å, c = 6.234 Å
α = 90.00°, β = 90.00°, γ = 90.00°
Fractional coordinates of all 5 atoms:
1 Ti 0.000 0.000 0.000
2 Se 0.500 0.500 0.500
3 I 0.500 0.500 0.000
4 O 0.000 0.500 0.500
5 O 0.500 0.000 0.500

***

2.
Computed, not measured: a relaxed Ac2TeN crystal at the PBE-GGA level of DFT.

Output
Excess energy over the best structure of this formula in the dataset: 0.000 eV/atom
Density of states at the Fermi level: 1.110 states/eV/cell
Formation energy without anion corrections: -1350.6 meV per atom
Magnetic moment: 0.233 μB per atom
Density: 7.69 Mg/m³

a = 7.558 Å, b = 7.558 Å, c = 6.188 Å
α = 90.06°, β = 90.06°, γ = 46.67°
Fractional coordinates of all 8 atoms:
1 Ac 0.115 0.688 0.000
2 Ac 0.312 0.885 0.500
3 Ac 0.688 0.115 0.500
4 Ac 0.885 0.312 0.000
5 Te 0.000 0.500 0.500
6 Te 0.500 0.000 0.000
7 N 0.000 0.000 0.250
8 N 0.000 0.000 0.750

***

3.
Computed, not measured: a relaxed Gd2HoMn crystal at the PBE-GGA level of DFT.

Output
Excess energy over the best structure of this formula in the dataset: 0.441 eV/atom
Density of states at the Fermi level: 6.853 states/eV/cell
Energy of formation: 0.558 eV per atom
Magnetic moment: 4.453 μB per atom
Density: 7.88 Mg/m³

a = 11.570 Å, b = 11.570 Å, c = 11.570 Å
α = 16.78°, β = 16.78°, γ = 16.78°
Fractional coordinates of all 4 atoms:
1 Gd 0.081 0.081 0.081
2 Gd 0.919 0.919 0.919
3 Ho 0.500 0.500 0.500
4 Mn 0.000 0.000 0.000

***

4.
Computed, not measured: a relaxed Tb6NdTl4 crystal at the PBE-GGA level of DFT.

Output
Density of states at the Fermi level: 8.683 states/eV/cell
Energy of formation: -0.235 eV per atom
Magnetic moment: 0.219 μB per atom
Density: 9.45 Mg/m³

a = 10.152 Å, b = 10.152 Å, c = 3.772 Å
α = 90.00°, β = 90.00°, γ = 120.00°
Fractional coordinates of all 11 atoms:
1 Tb 0.192 0.384 0.000
2 Tb 0.192 0.808 0.000
3 Tb 0.540 0.080 0.500
4 Tb 0.540 0.460 0.500
5 Tb 0.616 0.808 0.000
6 Tb 0.920 0.460 0.500
7 Nd 0.000 0.000 0.500
8 Tl 0.324 0.162 0.000
9 Tl 0.333 0.667 0.500
10 Tl 0.838 0.162 0.000
11 Tl 0.838 0.676 0.000

***

5.
Computed, not measured: a relaxed ReSb2Rh2 crystal at the PBE-GGA level of DFT.

Output
Excess energy over the best structure of this formula in the dataset: 0.457 eV/atom
Density of states at the Fermi level: 3.805 states/eV/cell
Formation energy without anion corrections: 813.0 meV per atom
Magnetic moment: 0.543 μB per atom
Density: 10.60 Mg/m³

a = 6.449 Å, b = 6.449 Å, c = 6.449 Å
α = 142.32°, β = 142.32°, γ = 54.35°
Fractional coordinates of all 5 atoms:
1 Re 0.000 0.000 0.000
2 Sb 0.250 0.750 0.500
3 Sb 0.750 0.250 0.500
4 Rh 0.389 0.389 0.000
5 Rh 0.611 0.611 0.000

***

6.
Computed, not measured: a relaxed SmAl3CoCu crystal at the PBE-GGA level of DFT.

Output
Density of states at the Fermi level: 7.168 states/eV/cell
Energy of formation: -0.273 eV per atom
Magnetic moment: 0.000 μB per atom
Density: 5.58 Mg/m³

a = 6.764 Å, b = 6.764 Å, c = 5.627 Å
α = 90.00°, β = 90.00°, γ = 125.20°
Fractional coordinates of all 12 atoms:
1 Sm 0.232 0.768 0.750
2 Sm 0.768 0.232 0.250
3 Al 0.207 0.207 0.000
4 Al 0.207 0.207 0.500
5 Al 0.359 0.641 0.250
6 Al 0.641 0.359 0.750
7 Al 0.793 0.793 0.000
8 Al 0.793 0.793 0.500
9 Co 0.444 0.556 0.750
10 Co 0.556 0.444 0.250
11 Cu 0.147 0.853 0.250
12 Cu 0.853 0.147 0.750